1.
A geometry-optimized Li4NiP2O8 structure. Source: Alexandria via LeMat-Bulk, functional PBEsol.

Results
V	10.646	A^3/atom
E_form (uncorrected)	-2.129	eV per atom

```
60
Lattice="8.127 0.000 0.000 0.000 10.044 0.000 -2.504 0.000 7.826" Properties=species:S:1:pos:R:3 pbc="T T T"
Li -0.494 0.784 2.073
Li -1.746 4.238 5.986
Li -0.687 1.589 4.679
Li 0.565 3.434 0.766
Li -0.389 6.688 5.208
Li 0.864 8.378 1.295
Li 1.979 1.622 2.769
Li 0.727 3.400 6.682
Li 4.896 6.644 1.144
Li 3.644 8.422 5.057
Li 4.759 1.666 6.531
Li 6.011 3.356 2.618
Li 5.058 6.611 7.060
Li 6.310 8.456 3.147
Li 7.369 5.806 1.840
Li 6.116 9.260 5.753
Ni 2.193 6.445 3.130
Ni 0.941 8.621 7.043
Ni 4.681 1.423 0.783
Ni 3.429 3.599 4.696
P -0.747 0.903 7.664
P 0.505 4.119 3.751
P 2.134 5.938 0.310
P 0.882 9.128 4.223
P 4.740 0.916 3.603
P 3.488 4.106 7.516
P 5.118 5.925 4.075
P 6.370 9.141 0.162
O -1.548 1.044 6.344
O -0.296 3.978 2.431
O 0.767 6.510 0.780
O -0.485 8.556 4.692
O 0.999 1.557 1.011
O -0.253 3.465 4.924
O 0.676 0.523 3.717
O -0.576 4.499 7.630
O 0.683 5.644 4.037
O 1.935 9.422 0.124
O 0.230 6.802 6.999
O 1.482 8.264 3.086
O 0.635 1.575 7.436
O 1.887 3.447 3.523
O 3.131 6.008 1.509
O 1.879 9.059 5.422
O 3.743 0.985 2.403
O 2.491 4.037 6.316
O 3.736 6.598 4.303
O 4.988 8.469 0.390
O 4.140 1.780 4.740
O 5.392 3.242 0.827
O 3.688 0.622 7.702
O 4.940 4.400 3.789
O 6.198 5.545 0.195
O 4.946 9.521 4.108
O 5.876 6.579 2.902
O 4.624 8.487 6.814
O 6.108 1.488 3.133
O 4.856 3.534 7.046
O 5.918 6.066 5.395
O 7.170 9.000 1.482
```



2.
A geometry-optimized LiNiPO4 structure. Source: Alexandria via LeMat-Bulk, functional PBEsol.

Results
V	11.484	A^3/atom
E_form (uncorrected)	-1.800	eV per atom

```
28
Lattice="4.254 -2.440 0.000 4.254 2.440 0.000 -2.174 0.000 15.492" Properties=species:S:1:pos:R:3 pbc="T T T"
Li 0.513 1.242 12.464
Li 4.732 1.242 10.775
Li 1.600 -1.242 4.718
Li 5.819 -1.242 3.029
Ni 1.673 1.191 9.114
Ni 3.573 1.191 14.125
Ni 2.760 -1.191 1.368
Ni 4.660 -1.191 6.379
P 2.946 1.112 5.845
P 4.474 1.112 1.901
P 1.859 -1.112 13.591
P 3.387 -1.112 9.647
O 3.118 1.841 1.954
O 0.222 0.734 10.601
O 2.250 1.214 7.232
O 4.302 1.841 5.792
O 1.309 -0.734 2.855
O 5.170 1.214 0.515
O 2.073 0.364 13.196
O 3.172 0.364 10.042
O 3.161 -0.364 5.450
O 4.259 -0.364 2.296
O 1.162 -1.214 14.978
O 5.024 0.734 12.637
O 2.031 -1.841 9.700
O 4.083 -1.214 8.261
O 6.111 -0.734 4.891
O 3.215 -1.841 13.538
```



- Which of these has the highest V?
  LiNiPO4



- Which value of E_form (uncorrected) does entry 2 give?
  -1.800 eV per atom